Run P
## Pm3SmHo7 (PBE)

Data for a relaxed structure of Pm3SmHo7.

Properties
magnetization: 0.000 μB per formula unit
ρ: 7.99 g cm⁻³

Structure (extended XYZ):
```
11
Lattice="-7.8487 0.5393 4.1253 4.0949 -8.6328 3.0391 4.7030 2.6523 1.1943" Properties=species:S:1:pos:R:3 pbc="T T T"
Ho -1.5729 1.5958 2.6598
Pm 5.7653 -6.6094 4.7884
Sm 0.4746 -2.7206 4.1793
Ho 0.5242 -4.2476 7.3828
Pm -4.8162 1.1682 3.5703
Ho -2.3107 -4.2283 5.7006
Ho 4.1447 -3.6778 4.6505
Ho -3.1956 -1.7635 3.7082
Ho 3.2599 -1.2129 2.6581
Pm 2.0474 -4.3164 1.5196
Ho 0.4250 -1.1936 0.9759
```

Run Q
## Pm3SmHo7 (PBE)

Data for a relaxed structure of Pm3SmHo7.

Properties
magnetization: 0.027 μB per formula unit
ρ: 7.91 g cm⁻³

Structure (extended XYZ):
```
11
Lattice="-2.5580 4.8751 1.9108 0.5295 -5.6506 6.2403 8.3561 0.4942 1.0403" Properties=species:S:1:pos:R:3 pbc="T T T"
Ho -1.4806 1.1833 3.8858
Ho 7.8082 -1.4646 5.3056
Sm 3.1638 -0.1407 4.5957
Pm 2.1832 -4.3523 5.1416
Ho 1.5646 3.5741 1.8625
Pm -1.2790 2.4375 0.9554
Pm 6.7025 -0.8042 2.1390
Ho 4.7630 -3.8555 7.3289
Ho 5.0301 -0.2228 7.3077
Ho 4.4428 -2.5782 3.6403
Ho 1.2976 -0.0586 1.8837
```

In terms of stability, run P leads; the second structure lies 10.9 kJ/mol of atoms higher.

Run P
## Pm2Sm2Ho5 (PBE)

Data for a relaxed structure of Pm2Sm2Ho5.

Properties
magnetization: 0.000 μB per formula unit
ρ: 7.88 g cm⁻³

Structure (extended XYZ):
```
18
Lattice="11.8277 0.0000 0.0000 0.0000 6.7411 0.0000 -5.9139 -3.3706 7.4786" Properties=species:S:1:pos:R:3 pbc="T T T"
Ho 3.1319 2.6360 5.3466
Sm 0.1221 0.7167 3.7393
Pm 5.9526 0.3886 1.8947
Ho -2.8855 1.3928 6.6871
Ho 8.7993 4.7633 0.7916
Ho -2.9060 2.7439 3.7393
Ho 2.7820 -0.7346 5.3466
Sm 5.9139 3.4521 0.0000
Sm 0.0000 0.0815 0.0000
Ho -3.0284 -1.9778 6.6871
Pm 5.9526 0.3886 5.5839
Sm 5.7917 4.0873 3.7393
Ho 8.9423 1.3928 0.7916
Ho 2.7820 -0.7346 2.1320
Ho 8.8199 -0.6267 3.7393
Pm -0.0388 3.7591 5.5839
Ho 3.1319 2.6360 2.1320
Pm -0.0387 3.7591 1.8947
```

Run Q
## Pm2Sm2Ho5 (PBE)

Data for a relaxed structure of Pm2Sm2Ho5.

Properties
magnetization: 0.000 μB per formula unit
ρ: 8.06 g cm⁻³

Structure (extended XYZ):
```
9
Lattice="1.8026 9.0213 2.4939 -1.8026 9.0213 2.4939 0.0000 1.7007 9.4322" Properties=species:S:1:pos:R:3 pbc="T T T"
Sm 0.0000 10.4854 8.8740
Ho 0.0000 3.2379 3.8444
Sm 0.0000 9.2579 5.5459
Ho 0.0000 0.0000 0.0000
Ho 0.0000 16.5055 10.5755
Pm 0.0000 4.4770 7.2348
Ho 0.0000 7.7085 11.0793
Pm 0.0000 15.2663 7.1851
Ho 0.0000 12.0349 3.3407
```

In terms of stability, run Q leads; the second structure lies 19.2 kJ/mol of atoms higher.

Run P
## Pm2Sm2Ho3 (PBE)

Data for a relaxed structure of Pm2Sm2Ho3.

Properties
magnetization: 0.000 μB per formula unit
ρ: 7.76 g cm⁻³

Structure (extended XYZ):
```
7
Lattice="3.5075 0.0000 0.0000 0.0000 8.7678 -0.4147 -1.7537 -3.3845 7.7126" Properties=species:S:1:pos:R:3 pbc="T T T"
Sm 1.7537 7.0205 1.7552
Ho 0.0000 4.3839 -0.2073
Ho 0.0000 4.1623 3.1384
Ho 1.7537 1.2210 4.1595
Pm 0.0000 1.2488 1.1433
Sm 0.0000 -1.6371 5.5427
Pm 1.7537 4.1346 6.1546
```

Run Q
## Pm2Sm2Ho3 (PBE)

Data for a relaxed structure of Pm2Sm2Ho3.

Properties
magnetization: 0.000 μB per formula unit
ρ: 7.68 g cm⁻³

Structure (extended XYZ):
```
14
Lattice="6.9159 -0.1917 0.0000 -3.3219 5.5021 0.0000 0.0000 0.0000 12.5510" Properties=species:S:1:pos:R:3 pbc="T T T"
Pm 4.5075 2.1177 4.8426
Ho -0.9304 2.2787 11.1305
Sm 1.2641 5.3576 8.8986
Pm 2.5444 3.0968 11.1181
Sm -2.1938 5.4535 9.9279
Pm -0.9135 3.1927 7.7084
Sm 5.7878 -0.1431 2.6231
Pm 1.0496 2.2136 1.4329
Sm 2.3299 -0.0472 3.6524
Ho 0.0000 0.0000 6.2755
Ho 2.5276 2.1828 7.6960
Ho 4.5244 3.0317 1.4205
Ho 1.0664 3.1276 4.8550
Ho 3.4580 -0.0959 0.0000
```

In terms of stability, run P leads; the second structure lies 2.3 kJ/mol of atoms higher.

Run P
## Pm6SmHo4 (PBE)

Data for a relaxed structure of Pm6SmHo4.

Properties
magnetization: 0.000 μB per formula unit
ρ: 7.22 g cm⁻³

Structure (extended XYZ):
```
11
Lattice="7.5223 0.0000 0.0000 0.0000 7.5223 0.0000 -3.7611 -3.7611 6.8292" Properties=species:S:1:pos:R:3 pbc="T T T"
Pm 3.7611 0.0000 0.0000
Pm 5.4739 2.0483 2.5591
Ho 2.5339 -2.5339 5.7204
Ho -2.5339 2.5339 5.7204
Sm 3.7611 3.7611 0.0000
Pm 0.0000 3.7611 0.0000
Pm 2.0483 5.4739 2.5591
Pm -1.7128 -1.7128 4.2701
Ho 1.2272 1.2272 1.1088
Pm 1.7128 1.7128 4.2701
Ho 6.2951 6.2951 1.1088
```

Run Q
## Pm6SmHo4 (PBE)

Data for a relaxed structure of Pm6SmHo4.

Properties
magnetization: 0.000 μB per formula unit
ρ: 7.63 g cm⁻³

Structure (extended XYZ):
```
22
Lattice="-0.2171 2.2787 -5.3869 2.0627 -5.1864 0.9027 -23.5962 -9.9517 -3.2585" Properties=species:S:1:pos:R:3 pbc="T T T"
Pm -20.4316 -10.5879 -3.6552
Pm -14.7022 -8.7128 -6.2727
Pm -7.0485 -4.1467 -1.4700
Pm -4.1509 -6.1084 -2.4166
Sm -16.8601 -9.1974 -3.2109
Pm -11.9067 -3.8365 -4.3227
Pm -17.9429 -10.0796 -6.7203
Ho -14.6370 -5.4320 -4.8876
Ho -20.6182 -7.9546 -5.7136
Ho -10.1868 -5.7494 -2.0214
Sm -4.8905 -3.6621 -4.5318
Pm -13.3815 -7.6145 -2.6816
Pm -8.3692 -5.2450 -5.0611
Ho -11.5639 -7.1101 -5.7213
Pm -1.3190 -2.2716 -4.0875
Ho -0.4455 -1.6410 -0.6762
Pm -17.5997 -6.7510 -5.3261
Ho -21.3052 -11.2185 -7.0665
Ho -1.1324 -4.9048 -2.0291
Ho -7.1137 -7.4274 -2.8551
Pm -3.8077 -2.7799 -1.0224
Pm -0.1086 1.1394 -2.6935
```

In terms of stability, run Q leads; the second structure lies 24.7 kJ/mol of atoms higher.

Run P
## Pm2SmHo7 (PBE)

Data for a relaxed structure of Pm2SmHo7.

Properties
magnetization: 0.001 μB per formula unit
ρ: 8.07 g cm⁻³

Structure (extended XYZ):
```
10
Lattice="3.5134 0.0000 0.0000 0.0000 13.9681 -4.7844 0.0000 -10.5716 10.3073" Properties=species:S:1:pos:R:3 pbc="T T T"
Ho 1.7567 4.9798 2.6672
Ho 0.0000 -6.0255 7.5116
Pm 1.7567 6.7999 -0.3760
Ho 1.7567 1.6983 2.7615
Ho 1.7567 -1.5832 2.8558
Ho 0.0000 9.4221 -1.9886
Ho 1.7567 0.1336 5.6475
Sm 0.0000 0.0000 0.0000
Pm 1.7567 -3.4033 5.8989
Ho 1.7567 3.2629 -0.1245
```

Run Q
## Pm2SmHo7 (PBE)

Data for a relaxed structure of Pm2SmHo7.

Properties
magnetization: 0.000 μB per formula unit
ρ: 8.27 g cm⁻³

Structure (extended XYZ):
```
10
Lattice="5.1299 1.6679 -0.7402 2.7810 7.5578 -3.7794 -1.5407 0.0024 9.3459" Properties=species:S:1:pos:R:3 pbc="T T T"
Ho 0.4667 1.4980 6.6080
Ho 5.9035 7.7300 -1.7817
Ho 1.9468 3.1206 0.4748
Ho 4.4235 6.1074 4.3514
Pm 2.4718 3.1146 4.1255
Ho 3.9555 4.6128 -2.2598
Sm 0.0000 0.0000 0.0000
Ho 6.4307 7.7184 1.8454
Ho -0.0605 1.5096 2.9808
Pm 3.8985 6.1134 0.7008
```

In terms of stability, run Q leads; the second structure lies 10.8 kJ/mol of atoms higher.

Run P
## Pm2SmHo2 (PBE)

Data for a relaxed structure of Pm2SmHo2.

Properties
magnetization: 0.004 μB per formula unit
ρ: 7.34 g cm⁻³

Structure (extended XYZ):
```
5
Lattice="-1.5696 0.9853 -4.2105 -2.0944 -4.0921 -0.1769 -4.9382 4.8757 5.4949" Properties=species:S:1:pos:R:3 pbc="T T T"
Sm 0.0000 0.0000 0.0000
Ho -3.0983 -0.9319 -1.5762
Pm -4.1698 2.1538 -0.4546
Pm -4.4322 -0.3849 1.5622
Ho -5.5038 2.7009 2.6837
```

Run Q
## Pm2SmHo2 (PBE)

Data for a relaxed structure of Pm2SmHo2.

Properties
magnetization: 0.000 μB per formula unit
ρ: 7.78 g cm⁻³

Structure (extended XYZ):
```
5
Lattice="-1.8967 -1.8408 -2.4452 1.6556 -1.4259 -2.8619 -1.2176 -12.7700 7.9068" Properties=species:S:1:pos:R:3 pbc="T T T"
Pm -1.6263 -13.6694 3.5987
Ho -2.0076 -10.1303 3.8813
Pm 0.1676 -2.3673 -0.9990
Sm -0.7293 -8.0184 1.2999
Ho 0.5489 -5.9064 -1.2815
```

In terms of stability, run Q leads; the second structure lies 32.6 kJ/mol of atoms higher.